# 1
K2ErPaO6 (PBE-GGA, relaxed); total magnetization = 2.02 μB/cell; uncorrected formation energy = -2.5742 eV per atom; symmetry = Fm-3m, No. 225
1.0
0.000 4.375 4.375
4.375 0.000 4.375
4.375 4.375 0.000
K Er Pa O
2 1 1 6
Direct
0.250 0.250 0.250 K
0.750 0.750 0.750 K
0.000 0.000 0.000 Er
0.500 0.500 0.500 Pa
0.255 0.255 0.745 O
0.255 0.745 0.255 O
0.255 0.745 0.745 O
0.745 0.255 0.255 O
0.745 0.255 0.745 O
0.745 0.745 0.255 O

=====

# 2
PrDyErTm2 (PBE-GGA, relaxed); total magnetization = 0.00 μB/cell; formation energy = 36.44 kJ per mole of atoms; symmetry = Cmcm, No. 63
1.0
4.174 -5.715 0.000
4.174 5.715 0.000
0.000 0.000 7.177
Pr Dy Er Tm
2 2 2 4
Direct
0.229 0.771 0.750 Pr
0.771 0.229 0.250 Pr
0.499 0.501 0.250 Dy
0.501 0.499 0.750 Dy
0.219 0.781 0.250 Er
0.781 0.219 0.750 Er
0.189 0.189 0.000 Tm
0.189 0.189 0.500 Tm
0.811 0.811 0.000 Tm
0.811 0.811 0.500 Tm

=====

# 3
GeBiSe2 (PBE-GGA, relaxed); total magnetization = 0.00 μB/cell; E above lowest polymorph = 0.142 eV/atom; uncorrected formation energy = -0.0270 eV per atom; symmetry = I-42d, No. 122
1.0
7.567 0.000 0.000
0.000 7.567 0.000
0.000 0.000 7.483
Ge Bi Se
4 4 8
Direct
0.000 0.000 0.000 Ge
0.000 0.500 0.250 Ge
0.500 0.000 0.750 Ge
0.500 0.500 0.500 Ge
0.000 0.000 0.500 Bi
0.000 0.500 0.750 Bi
0.500 0.000 0.250 Bi
0.500 0.500 0.000 Bi
0.229 0.750 0.125 Se
0.250 0.229 0.875 Se
0.250 0.271 0.375 Se
0.271 0.750 0.625 Se
0.729 0.250 0.625 Se
0.750 0.729 0.375 Se
0.750 0.771 0.875 Se
0.771 0.250 0.125 Se

=====

# 4
TlGaHg (PBE-GGA, relaxed); total magnetization = 0.00 μB/cell; formation energy = 1.23 kJ per mole of atoms; symmetry = P1, No. 1
1.0
4.660 0.000 0.000
2.191 5.723 0.000
2.243 -0.059 5.894
Tl Ga Hg
2 2 2
Direct
0.000 0.000 0.000 Tl
0.498 0.338 0.665 Tl
0.336 0.896 0.424 Ga
0.825 0.768 0.572 Ga
0.182 0.360 0.268 Hg
0.687 0.602 0.021 Hg

=====

# 5
Ac2TbDy (PBE-GGA, relaxed); total magnetization = 0.00 μB/cell; E above lowest polymorph = 0.024 eV/atom; formation energy = 6.75 kJ per mole of atoms; symmetry = R3m, No. 160
1.0
3.801 0.000 0.000
-1.900 3.291 0.000
0.000 0.000 36.242
Ac Tb Dy
6 3 3
Direct
0.000 0.000 0.000 Ac
0.000 0.000 0.167 Ac
0.333 0.667 0.667 Ac
0.333 0.667 0.833 Ac
0.667 0.333 0.333 Ac
0.667 0.333 0.500 Ac
0.000 0.000 0.416 Tb
0.333 0.667 0.083 Tb
0.667 0.333 0.749 Tb
0.000 0.000 0.584 Dy
0.333 0.667 0.251 Dy
0.667 0.333 0.918 Dy